(1)
A plane-wave DFT calculation with GGA-PBE was carried out for a relaxed BeCuRu2 crystal.

Cell lengths 2.7788, 2.7788, 6.2127 Å; angles 90.00, 90.00, 90.00 degrees
Closest atoms and distances in Å follow each position.
Fractional positions:
Ru (0.0000, 0.0000, 0.0365)  4 Be 2.37, 4 Cu 2.65, 1 Ru 2.65
Ru (0.0000, 0.0000, 0.4636)  4 Be 2.37, 4 Cu 2.65, 1 Ru 2.65
Cu (0.5000, 0.5000, 0.7500)  8 Ru 2.65, 4 Cu 2.78
Be (0.5000, 0.5000, 0.2500)  8 Ru 2.37

**ΔE_f**: 0.07 eV per atom
**SG**: No. 123

(2)
A plane-wave DFT calculation with GGA-PBE was carried out for a relaxed Mg3Si4 crystal.

Cell lengths 7.0826, 7.0962, 11.6648 Å; angles 70.06, 82.65, 70.59 degrees
Closest atoms and distances in Å follow each position.
Fractional positions:
Mg (0.2964, 0.7568, 0.4635)  6 Si 2.72-2.97
Mg (0.5945, 0.0991, 0.3761)  5 Si 2.70-2.93, 1 Mg 3.02
Mg (0.1304, 0.0036, 0.9577)  4 Si 2.68-2.88
Mg (0.9235, 0.6703, 0.1018)  6 Si 2.76-3.00, 1 Mg 3.09
Mg (0.7422, 0.8011, 0.7789)  6 Si 2.70-2.87
Mg (0.7269, 0.2859, 0.8182)  7 Si 2.75-3.06, 1 Mg 3.05
Mg (0.0502, 0.2281, 0.3563)  5 Si 2.69-2.90
Mg (0.9122, 0.6922, 0.3738)  6 Si 2.85-3.18, 3 Mg 3.02-3.18
Mg (0.6731, 0.3339, 0.5352)  6 Si 2.80-3.10, 1 Mg 3.09
Mg (0.0330, 0.4683, 0.6497)  6 Si 2.77-3.08, 1 Mg 3.05
Mg (0.5401, 0.5485, 0.0160)  5 Si 2.68-2.93
Mg (0.2905, 0.2500, 0.0848)  8 Si 2.72-3.02, 1 Mg 3.04
Si (0.5235, 0.9538, 0.9536)  2 Si 2.34-2.48
Si (0.8937, 0.2467, 0.1524)  4 Si 2.49-2.72, 1 Mg 2.69
Si (0.2840, 0.3804, 0.4590)  2 Si 2.42-2.45
Si (0.9151, 0.9291, 0.5396)  1 Si 2.48, 1 Mg 2.74
Si (0.3525, 0.5427, 0.7248)  3 Si 2.36-2.44
Si (0.1565, 0.6653, 0.8820)  3 Si 2.38-2.61
Si (0.6603, 0.4981, 0.2658)  3 Si 2.44-2.62
Si (0.5458, 0.8739, 0.2424)  3 Si 2.44-2.57, 1 Mg 2.70
Si (0.4241, 0.1787, 0.7567)  3 Si 2.34-2.40
Si (0.3426, 0.0403, 0.6147)  4 Si 2.40-2.51
Si (0.6950, 0.0905, 0.0650)  3 Si 2.47-2.53, 2 Mg 2.72-2.75
Si (0.9567, 0.4220, 0.9335)  2 Si 2.46-2.49, 2 Mg 2.73-2.74
Si (0.6030, 0.7022, 0.6084)  2 Si 2.44-2.51, 1 Mg 2.71
Si (0.0214, 0.0163, 0.7044)  3 Si 2.41-2.61
Si (0.3038, 0.4893, 0.2358)  3 Si 2.45-2.62
Si (0.1918, 0.8733, 0.2161)  3 Si 2.51-2.72

**SG**: No. 1
**Offset from the most stable computed form**: 45 meV per atom
**Uncorrected formation energy**: 0.0970 eV per atom

(3)
A plane-wave DFT calculation with GGA-PBE was carried out for a relaxed Tm7Ni2Te2 crystal.

Cell lengths 3.8146, 9.2365, 9.2365 Å; angles 61.84, 78.08, 78.08 degrees
Closest atoms and distances in Å follow each position.
Fractional positions:
Tm (0.8144, 0.0870, 0.2843)  2 Ni 2.76
Tm (0.8535, 0.3985, 0.8946)  2 Ni 2.79
Tm (0.5000, 0.0247, 0.9753)  3 Te 3.16-3.20
Tm (0.6340, 0.4719, 0.2601)  2 Ni 2.75
Tm (0.3660, 0.7399, 0.5281)  2 Ni 2.75
Tm (0.1856, 0.7157, 0.9130)  2 Ni 2.76
Tm (0.1465, 0.1054, 0.6015)  2 Ni 2.79
Ni (0.7370, 0.8579, 0.6681)  6 Tm 2.75-2.79
Ni (0.2630, 0.3319, 0.1421)  6 Tm 2.75-2.79
Te (0.0000, 0.7588, 0.2412)  8 Tm 3.16
Te (0.5000, 0.3621, 0.6379)  7 Tm 3.10-3.20

**SG**: No. 44
**Offset from the most stable computed form**: 0 meV per atom
**Uncorrected formation energy**: -0.6795 eV per atom